# 1
Entry from the Alexandria database: DyTm3Zr after structural relaxation (PBE).

abc: 4.3059 7.8858 10.8626
angles: 83.78 66.65 74.13
Closest atoms and distances in Å follow each position.
Atoms (fractional coordinates):
Dy (0.3460, 0.3084, 0.5000)  6 Tm 3.39-3.70, 2 Dy 3.62
Dy (0.6540, 0.6916, 0.5000)  6 Tm 3.39-3.70, 2 Dy 3.62
Tm (0.8241, 0.0000, 0.1751)  2 Zr 3.27, 5 Tm 3.44-3.49
Tm (0.1759, 0.0000, 0.8249)  2 Zr 3.27, 5 Tm 3.44-3.49
Tm (0.0889, 0.3447, 0.2389)  4 Tm 3.19-3.45, 3 Zr 3.21-3.25, 2 Dy 3.39
Tm (0.5667, 0.3448, 0.7611)  4 Tm 3.19-3.45, 3 Zr 3.21-3.25, 2 Dy 3.39
Tm (0.9111, 0.6553, 0.7611)  4 Tm 3.19-3.45, 3 Zr 3.21-3.25, 2 Dy 3.39
Tm (0.4333, 0.6552, 0.2389)  4 Tm 3.19-3.45, 3 Zr 3.21-3.25, 2 Dy 3.39
Zr (0.1820, 0.6359, 0.0000)  2 Zr 2.98, 8 Tm 3.21-3.27
Zr (0.8180, 0.3641, 0.0000)  2 Zr 2.98, 8 Tm 3.21-3.27

Summary:
Crystal system: orthorhombic
ΔE to the lowest computed polymorph in kJ per mole of atoms: 27.3
ΔE_f in eV/atom: 0.340


# 2
Entry from the Alexandria database: Th4HgSb2Te after structural relaxation (PBE).

abc: 4.4889 7.8056 7.7242
angles: 70.62 90.00 90.00
Closest atoms and distances in Å follow each position.
Atoms (fractional coordinates):
Th (0.0000, 0.7504, 0.7442)  1 Hg 3.13, 3 Sb 3.15-3.20, 2 Te 3.19
Th (0.0000, 0.2496, 0.2558)  1 Hg 3.13, 3 Sb 3.15-3.20, 2 Te 3.19
Th (0.5000, 0.7458, 0.2573)  2 Hg 3.14, 3 Sb 3.15-3.21, 1 Te 3.19
Th (0.5000, 0.2542, 0.7427)  2 Hg 3.14, 3 Sb 3.15-3.21, 1 Te 3.19
Hg (0.0000, 0.5000, 0.5000)  6 Th 3.13-3.14
Sb (0.0000, 0.0000, 0.0000)  6 Th 3.20-3.21
Sb (0.5000, 0.0000, 0.5000)  6 Th 3.15
Te (0.5000, 0.5000, 0.0000)  6 Th 3.19

Summary:
Crystal system: monoclinic
Formation energy without anion corrections in eV/atom: -0.744


# 3
Entry from the Alexandria database: CuTcTe3 after structural relaxation (PBE).

abc: 5.1997 5.1997 5.1997
angles: 90.00 90.00 90.00
Closest atoms and distances in Å follow each position.
Atoms (fractional coordinates):
Te (0.0000, 0.5000, 0.0000)  2 Tc 2.60
Te (0.0000, 0.0000, 0.5000)  2 Tc 2.60
Te (0.5000, 0.0000, 0.0000)  2 Tc 2.60
Tc (0.0000, 0.0000, 0.0000)  6 Te 2.60
Cu (0.5000, 0.5000, 0.5000)  12 Te 3.68

Summary:
Crystal system: cubic
ΔE to the lowest computed polymorph in kJ per mole of atoms: 0.0
Formation energy without anion corrections in eV/atom: 0.794


# 4
Entry from the Alexandria database: KLaSb4 after structural relaxation (PBE).

abc: 4.4679 4.4693 10.9284
angles: 90.00 90.00 90.00
Closest atoms and distances in Å follow each position.
Atoms (fractional coordinates):
K (0.5013, 0.4971, 0.9981)  8 Sb 3.70-3.71
La (0.0013, 0.9973, 0.4981)  8 Sb 3.36
Sb (0.5013, 0.9972, 0.2683)  4 Sb 3.16, 2 La 3.36
Sb (0.5012, 0.9972, 0.7279)  4 Sb 3.16, 2 La 3.36
Sb (0.0013, 0.4974, 0.7277)  4 Sb 3.16, 2 La 3.36
Sb (0.0013, 0.4975, 0.2686)  4 Sb 3.16, 2 La 3.36

Summary:
Crystal system: tetragonal
ΔE to the lowest computed polymorph in kJ per mole of atoms: 0.0
Formation energy without anion corrections in eV/atom: -0.487


# 5
Entry from the Alexandria database: LiTmScMn after structural relaxation (PBE).

abc: 4.8279 4.8279 4.8279
angles: 60.00 60.00 60.00
Closest atoms and distances in Å follow each position.
Atoms (fractional coordinates):
Sc (0.0000, 0.0000, 0.0000)  4 Li 2.96, 4 Mn 2.96
Tm (0.5000, 0.5000, 0.5000)  4 Mn 2.96, 4 Li 2.96
Mn (0.7500, 0.7500, 0.7500)  4 Tm 2.96, 4 Sc 2.96
Li (0.2500, 0.2500, 0.2500)  4 Sc 2.96, 4 Tm 2.96

Summary:
Crystal system: cubic
ΔE_f in eV/atom: 0.113


# 6
Entry from the Alexandria database: FeTcMoRh after structural relaxation (PBE).

abc: 4.3245 4.3245 4.3245
angles: 60.00 60.00 60.00
Closest atoms and distances in Å follow each position.
Atoms (fractional coordinates):
Mo (0.0000, 0.0000, 0.0000)  4 Fe 2.65, 4 Tc 2.65
Rh (0.5000, 0.5000, 0.5000)  4 Tc 2.65, 4 Fe 2.65
Tc (0.7500, 0.7500, 0.7500)  4 Mo 2.65, 4 Rh 2.65
Fe (0.2500, 0.2500, 0.2500)  4 Rh 2.65, 4 Mo 2.65

Summary:
Crystal system: cubic
ΔE_f in eV/atom: 0.201


What did the fifth record say?
Entry from the Alexandria database: LiTmScMn after structural relaxation (PBE).

abc: 4.8279 4.8279 4.8279
angles: 60.00 60.00 60.00
Closest atoms and distances in Å follow each position.
Atoms (fractional coordinates):
Sc (0.0000, 0.0000, 0.0000)  4 Li 2.96, 4 Mn 2.96
Tm (0.5000, 0.5000, 0.5000)  4 Mn 2.96, 4 Li 2.96
Mn (0.7500, 0.7500, 0.7500)  4 Tm 2.96, 4 Sc 2.96
Li (0.2500, 0.2500, 0.2500)  4 Sc 2.96, 4 Tm 2.96

Summary:
Crystal system: cubic
ΔE_f in eV/atom: 0.113


- Which formula does entry 6 have?
  FeTcMoRh